1.
The following is a PBEsol calculation of a relaxed TaIrCl crystal, from the Alexandria database.

Computed properties:
Energy relative to the elements, uncorrected ... 0.30 eV/atom
DOS(E_F) ... 2.19 states/eV/f.u.
Space-group type ... No. 216

abc: 4.275 4.275 4.275
angles: 60.00 60.00 60.00
Positions (direct):
Ta 0.250 0.250 0.250
Cl 0.000 0.000 0.000
Ir 0.500 0.500 0.500



2.
The following is a PBEsol calculation of a relaxed KAgSe2N crystal, from the Alexandria database.

Computed properties:
Energy relative to the elements, uncorrected ... 1.69 eV/atom
DOS(E_F) ... 5.08 states/eV/f.u.
Space-group type ... No. 123

abc: 4.799 5.716 5.716
angles: 90.00 90.00 90.00
Site moments in Bohr magnetons follow the coordinates.
Positions (direct):
K 0.000 0.000 0.000  0.09
N 0.500 0.000 0.000  1.77
Se 0.000 0.500 0.000  0.65
Ag 0.500 0.500 0.500  0.01
Se 0.000 0.000 0.500  0.65



3.
The following is a PBEsol calculation of a relaxed LiMgCo2 crystal, from the Alexandria database.

Computed properties:
Energy of formation ... 231.6 meV per atom
DOS(E_F) ... 2.94 states/eV/f.u.
Space-group type ... No. 71

abc: 2.968 3.925 4.858
angles: 113.83 107.79 90.00
Site moments in Bohr magnetons follow the coordinates.
Positions (direct):
Mg 0.000 0.500 0.000  -0.03
Co 0.754 0.754 0.508  1.44
Li 0.500 0.000 0.000  -0.02
Co 0.246 0.246 0.492  1.44



4.
The following is a PBEsol calculation of a relaxed ScBi2C crystal, from the Alexandria database.

Computed properties:
Energy of formation ... 742.4 meV per atom
DOS(E_F) ... 2.78 states/eV/f.u.
Space-group type ... No. 122

abc: 6.185 6.185 6.185
angles: 107.52 110.45 110.45
Positions (direct):
C 0.000 0.500 0.500
Sc 0.000 0.000 0.000
Bi 0.575 0.200 0.125
Sc 0.500 0.750 0.250
C 0.500 0.250 0.750
Bi 0.425 0.550 0.625
Bi 0.075 0.875 0.450
Bi 0.925 0.375 0.800



5.
The following is a PBEsol calculation of a relaxed ReNCl4 crystal, from the Alexandria database.

Computed properties:
Energy relative to the elements, uncorrected ... -0.40 eV/atom
Space-group type ... No. 79

abc: 3.966 6.216 6.216
angles: 84.16 71.40 71.40
Positions (direct):
Re 0.011 0.000 0.000
Cl 0.187 0.815 0.663
Cl 0.850 0.337 0.815
N 0.439 0.000 0.000
Cl 0.002 0.663 0.185
Cl 0.666 0.185 0.337



6.
The following is a PBEsol calculation of a relaxed TcAs2Br crystal, from the Alexandria database.

Computed properties:
Energy relative to the elements, uncorrected ... -0.04 eV/atom
DOS(E_F) ... 2.22 states/eV/f.u.
Space-group type ... No. 123

abc: 3.057 3.057 8.149
angles: 90.00 90.00 90.00
Positions (direct):
As 0.000 0.000 0.322
As 0.000 0.000 0.678
Br 0.500 0.500 0.000
Tc 0.500 0.500 0.500



7.
The following is a PBEsol calculation of a relaxed Sr3MnFeO7 crystal, from the Alexandria database.

Computed properties:
Energy relative to the elements, uncorrected ... -2.30 eV/atom
DOS(E_F) ... 2.19 states/eV/f.u.
Space-group type ... No. 107

abc: 3.808 3.808 10.273
angles: 100.68 100.68 90.00
Site moments in Bohr magnetons follow the coordinates.
Positions (direct):
O 0.405 0.905 0.811  0.07
O 0.905 0.405 0.811  0.07
Sr 0.317 0.317 0.635  0.01
O 0.192 0.192 0.383  0.08
Sr 0.682 0.682 0.364  0.01
Fe 0.096 0.096 0.192  2.77
O 0.807 0.807 0.615  0.04
Sr 0.500 0.500 0.000  0.01
Mn 0.902 0.902 0.804  2.76
O 0.002 0.002 0.003  0.14
O 0.096 0.596 0.192  0.13
O 0.596 0.096 0.192  0.13



8.
The following is a PBEsol calculation of a relaxed Na6Fe2PC4O16 crystal, from the Alexandria database.

Computed properties:
Energy relative to the elements, uncorrected ... -1.66 eV/atom
DOS(E_F) ... 7.49 states/eV/f.u.
Space-group type ... No. 203

abc: 9.802 9.802 9.802
angles: 60.00 60.00 60.00
Site moments in Bohr magnetons follow the coordinates.
Positions (direct):
O 0.772 0.435 0.266  0.08
O 0.185 0.185 0.444  0.00
O 0.444 0.185 0.185  0.00
Fe 0.125 0.625 0.625  3.83
Na 0.206 0.206 0.794  0.00
O 0.724 0.815 0.478  0.08
Na 0.206 0.794 0.206  0.00
O 0.984 0.815 0.724  0.08
Na 0.456 0.456 0.044  0.00
C 0.479 0.840 0.840  0.01
Na 0.456 0.044 0.044  0.00
Na 0.794 0.794 0.206  0.00
O 0.065 0.065 0.806  0.00
O 0.185 0.444 0.185  0.00
O 0.815 0.984 0.478  0.08
Na 0.794 0.206 0.794  0.00
Fe 0.625 0.125 0.625  3.83
O 0.724 0.984 0.815  0.08
O 0.266 0.772 0.435  0.08
Na 0.206 0.794 0.794  0.00
O 0.984 0.724 0.478  0.08
O 0.526 0.266 0.435  0.08
O 0.772 0.526 0.435  0.08
C 0.410 0.410 0.771  0.01
O 0.478 0.984 0.724  0.08
O 0.435 0.772 0.526  0.08
O 0.815 0.724 0.984  0.08
Na 0.044 0.456 0.456  0.00
O 0.266 0.526 0.772  0.08
P 0.000 0.000 0.000  0.00
C 0.840 0.840 0.479  0.01
C 0.840 0.840 0.840  0.01
O 0.815 0.478 0.724  0.08
O 0.065 0.065 0.065  0.00
O 0.065 0.806 0.065  0.00
C 0.410 0.410 0.410  0.01
O 0.984 0.478 0.815  0.08
O 0.724 0.478 0.984  0.08
Na 0.456 0.044 0.456  0.00
O 0.806 0.065 0.065  0.00
O 0.435 0.266 0.772  0.08
Na 0.794 0.206 0.206  0.00
Na 0.044 0.044 0.456  0.00
P 0.250 0.250 0.250  0.00
O 0.435 0.526 0.266  0.08
O 0.772 0.266 0.526  0.08
O 0.526 0.772 0.266  0.08
Fe 0.625 0.625 0.125  3.83
C 0.771 0.410 0.410  0.01
C 0.840 0.479 0.840  0.01
O 0.185 0.185 0.185  0.00
O 0.526 0.435 0.772  0.08
O 0.266 0.435 0.526  0.08
O 0.478 0.815 0.984  0.08
Na 0.044 0.456 0.044  0.00
Fe 0.625 0.625 0.625  3.83
C 0.410 0.771 0.410  0.01
O 0.478 0.724 0.815  0.08



9.
The following is a PBEsol calculation of a relaxed Mg3SiO5F crystal, from the Alexandria database.

Computed properties:
Energy relative to the elements, uncorrected ... -2.68 eV/atom
Space-group type ... No. 33

abc: 4.726 8.850 10.289
angles: 90.00 90.00 90.00
Site moments in Bohr magnetons follow the coordinates.
Positions (direct):
Mg 0.502 0.249 0.407  0.00
Mg 0.998 0.249 0.907  0.00
O 0.780 0.414 0.463  0.66
Mg 0.493 0.574 0.868  0.00
O 0.725 0.605 0.206  0.02
F 0.741 0.083 0.967  0.01
O 0.772 0.248 0.722  0.01
O 0.280 0.914 0.037  0.66
O 0.272 0.748 0.778  0.01
Mg 0.498 0.749 0.593  0.00
O 0.720 0.414 0.963  0.66
Mg 0.497 0.931 0.867  0.00
Mg 0.503 0.431 0.133  0.00
O 0.780 0.896 0.706  0.07
Mg 0.997 0.431 0.633  0.00
F 0.241 0.583 0.533  0.01
F 0.759 0.083 0.467  0.01
O 0.280 0.396 0.794  0.07
Si 0.429 0.249 0.722  0.00
O 0.225 0.105 0.294  0.02
O 0.220 0.914 0.537  0.66
O 0.228 0.748 0.278  0.01
Mg 0.003 0.931 0.367  0.00
O 0.719 0.751 0.423  0.06
Si 0.571 0.749 0.278  0.00
O 0.275 0.105 0.794  0.02
O 0.219 0.251 0.077  0.06
Mg 0.007 0.574 0.368  0.00
O 0.220 0.396 0.294  0.07
O 0.728 0.248 0.222  0.01
Si 0.071 0.249 0.222  0.00
O 0.720 0.896 0.206  0.07
O 0.775 0.605 0.706  0.02
Mg 0.507 0.074 0.132  0.00
F 0.259 0.583 0.033  0.01
Mg 0.002 0.749 0.093  0.00
Mg 0.993 0.074 0.632  0.00
Si 0.929 0.749 0.778  0.00
O 0.781 0.751 0.923  0.06
O 0.281 0.251 0.577  0.06



10.
The following is a PBEsol calculation of a relaxed MnHg2Ir crystal, from the Alexandria database.

Computed properties:
Energy of formation ... 215.4 meV per atom
DOS(E_F) ... 3.27 states/eV/f.u.
Space-group type ... No. 99

abc: 2.942 2.942 7.881
angles: 90.00 90.00 90.00
Site moments in Bohr magnetons follow the coordinates.
Positions (direct):
Hg 0.000 0.000 0.968  -0.03
Hg 0.500 0.500 0.276  -0.02
Ir 0.000 0.000 0.538  0.08
Mn 0.500 0.500 0.718  3.10



11.
The following is a PBEsol calculation of a relaxed Cu7Si2 crystal, from the Alexandria database.

Computed properties:
Energy relative to the elements, uncorrected ... -0.06 eV/atom
DOS(E_F) ... 2.44 states/eV/f.u.
Space-group type ... No. 164

abc: 4.019 4.019 7.421
angles: 90.00 90.00 120.00
Positions (direct):
Si 0.333 0.667 0.779
Cu 0.333 0.667 0.118
Cu 0.000 0.000 0.000
Cu 0.667 0.333 0.544
Cu 0.000 0.000 0.330
Cu 0.000 0.000 0.670
Cu 0.333 0.667 0.456
Si 0.667 0.333 0.221
Cu 0.667 0.333 0.882



12.
The following is a PBEsol calculation of a relaxed Mg2ZrHg crystal, from the Alexandria database.

Computed properties:
Energy of formation ... -173.6 meV per atom
DOS(E_F) ... 3.04 states/eV/f.u.
Space-group type ... No. 123

abc: 4.283 4.274 4.471
angles: 90.00 90.00 90.00
Positions (direct):
Mg 0.500 0.500 0.000
Zr 0.500 0.000 0.500
Hg 0.000 0.500 0.500
Mg 0.000 0.000 0.000